Entry from Alexandria: an optimized crystal structure of Ag5Te2PSe4 (PBE).

Cell: 6.1148 6.7450 8.3531 Å, 90.00 90.00 116.95°
Atoms (fractional coordinates):
P 0.4574 0.0000 0.0000
Te 0.3491 0.4047 0.5000
Se 0.6607 0.0000 0.7743
Ag 0.6757 0.6075 0.7792
Se 0.0815 0.6939 0.0000
Se 0.3876 0.3061 0.0000
Ag 0.0682 0.3925 0.2208
Se 0.6607 0.0000 0.2257
Ag 0.3765 0.0000 0.5000
Ag 0.6757 0.6075 0.2208
Ag 0.0682 0.3925 0.7792
Te 0.9443 0.5953 0.5000

The total energy comes out at -3.37 eV per atom. Its raw formation energy is -0.05 eV per atom. Its space-group type is Amm2.

=====

Entry from Alexandria: an optimized crystal structure of Sr2MgTa (PBE).

Cell: 6.2272 6.2272 3.3937 Å, 90.00 90.00 109.47°
Atoms (fractional coordinates):
Mg 0.0000 0.5000 0.5000
Sr 0.5000 0.5000 0.0000
Sr 0.0000 0.0000 0.0000
Ta 0.5000 0.0000 0.5000

The energy of formation from the pure elements is 0.80 eV per atom. The total energy comes out at -3.41 eV per atom. Its space-group type is Cmmm.

=====

Entry from Alexandria: an optimized crystal structure of Li2LaInS (PBE).

Cell: 4.7525 4.7525 5.6847 Å, 90.00 90.00 90.00°
Atoms (fractional coordinates):
Li 0.5000 0.0000 0.0000
In 0.5000 0.5000 0.5000
Li 0.0000 0.5000 0.0000
La 0.0000 0.0000 0.5000
S 0.0000 0.0000 0.0000

The total energy comes out at -3.89 eV per atom. Its raw formation energy is -0.77 eV per atom. Its space-group type is P4/mmm.

=====

Entry from Alexandria: an optimized crystal structure of Pm2PuRh3 (PBE).

Cell: 5.3710 7.6018 7.6018 Å, 114.33 90.00 90.00°
Atoms (fractional coordinates):
Rh 0.7500 0.4305 0.4305
Pm 0.7500 0.8278 0.5187
Rh 0.0000 0.1722 0.8278
Rh 0.0000 0.8278 0.1722
Pm 0.7500 0.5187 0.8278
Rh 0.5000 0.1722 0.8278
Pm 0.2500 0.4813 0.1722
Rh 0.2500 0.5695 0.5695
Pm 0.2500 0.1722 0.4813
Pu 0.7500 0.1237 0.1237
Pu 0.2500 0.8763 0.8763
Rh 0.5000 0.8278 0.1722

The energy of formation from the pure elements is -0.50 eV per atom. The total energy comes out at -8.15 eV per atom. Its space-group type is Cmcm. As for the energy above the lowest structure with this stoichiometry: 70 meV per atom.

=====

Entry from Alexandria: an optimized crystal structure of Cs2AsH3SeO8 (PBE).

Cell: 8.1412 8.2708 8.1802 Å, 88.29 89.43 79.41°
Atoms (fractional coordinates):
H 0.2718 0.1228 0.3946
O 0.4891 0.6681 0.6877
H 0.7620 0.6219 0.0354
O 0.0220 0.6395 0.4687
O 0.7150 0.8937 0.7288
O 0.5210 0.1384 0.0272
Cs 0.6029 0.2864 0.6753
O 0.2473 0.1117 0.5871
Se 0.8922 0.7450 0.3207
H 0.2380 0.3781 0.9646
Cs 0.3971 0.7136 0.3247
O 0.9780 0.3605 0.5313
Cs 0.1127 0.7778 0.8221
H 0.5000 0.0000 0.0000
As 0.5965 0.7563 0.8208
O 0.9908 0.1678 0.8089
O 0.7934 0.6106 0.2314
Cs 0.8873 0.2222 0.1779
O 0.2066 0.3894 0.7686
O 0.2850 0.1063 0.2712
O 0.2520 0.3989 0.0850
H 0.0000 0.5000 0.5000
O 0.7527 0.8883 0.4129
O 0.5109 0.3319 0.3123
Se 0.1078 0.2550 0.6793
O 0.0092 0.8322 0.1911
H 0.7282 0.8772 0.6054
O 0.4790 0.8616 0.9728
As 0.4035 0.2437 0.1792
O 0.7480 0.6011 0.9150

The total energy comes out at -5.24 eV per atom. Its space-group type is P-1.

=====

Entry from Alexandria: an optimized crystal structure of TePt (PBE).

Cell: 3.8831 3.8831 3.4595 Å, 90.00 90.00 120.00°
Atoms (fractional coordinates):
Te 0.6667 0.3333 0.5000
Pt 0.0000 0.0000 0.0000

The total energy comes out at -4.55 eV per atom. Its raw formation energy is 0.04 eV per atom. Its space-group type is P-6m2.

=====

Entry from Alexandria: an optimized crystal structure of SrNd2In (PBE).

Cell: 5.4412 5.4412 6.8175 Å, 66.48 66.48 60.00°
Atoms (fractional coordinates):
In 0.6876 0.6876 0.9372
Nd 0.2778 0.2778 0.1666
Sr 0.4905 0.4905 0.5284
Nd 0.0441 0.0441 0.8678

The energy of formation from the pure elements is 0.02 eV per atom. The total energy comes out at -3.47 eV per atom. Its space-group type is R3m. As for the energy above the lowest structure with this stoichiometry: 175 meV per atom.

=====

Entry from Alexandria: an optimized crystal structure of AgRhI (PBE).

Cell: 4.3025 9.6175 6.3398 Å, 90.00 90.00 90.00°
Atoms (fractional coordinates):
Ag 0.2500 0.4022 0.5516
I 0.7500 0.6655 0.0030
Rh 0.2500 0.1004 0.7299
I 0.2500 0.3345 0.0030
I 0.2500 0.8345 0.5030
Rh 0.7500 0.3996 0.2299
Ag 0.2500 0.9022 0.0516
Ag 0.7500 0.5978 0.5516
Ag 0.7500 0.0978 0.0516
I 0.7500 0.1655 0.5030
Rh 0.7500 0.8996 0.7299
Rh 0.2500 0.6004 0.2299

The total energy comes out at -3.70 eV per atom. Its raw formation energy is 0.22 eV per atom. Its space-group type is Ama2. As for the energy above the lowest structure with this stoichiometry: 73 meV per atom.

=====

Entry from Alexandria: an optimized crystal structure of LaNbTl3 (PBE).

Cell: 5.4095 5.4095 5.4095 Å, 90.00 90.00 90.00°
Atoms (fractional coordinates):
La 0.5000 0.5000 0.5000
Tl 0.5000 0.0000 0.0000
Tl 0.0000 0.0000 0.5000
Nb 0.0000 0.0000 0.0000
Tl 0.0000 0.5000 0.0000

The energy of formation from the pure elements is 0.24 eV per atom. The total energy comes out at -4.18 eV per atom. Its space-group type is Pm-3m. As for the energy above the lowest structure with this stoichiometry: 0 meV per atom.

=====

Entry from Alexandria: an optimized crystal structure of TcRu2Pt (PBE).

Cell: 4.3620 4.7833 11.0507 Å, 90.00 90.00 90.00°
Atoms (fractional coordinates):
Pt 0.7500 0.9136 0.4366
Ru 0.7500 0.9218 0.9351
Tc 0.2500 0.0825 0.8116
Ru 0.7500 0.4218 0.5649
Tc 0.2500 0.5825 0.6884
Pt 0.2500 0.0864 0.5634
Ru 0.2500 0.0860 0.3096
Pt 0.2500 0.5864 0.9366
Tc 0.7500 0.4175 0.3116
Pt 0.7500 0.4136 0.0634
Ru 0.2500 0.0782 0.0649
Ru 0.7500 0.4140 0.8096
Tc 0.7500 0.9175 0.1884
Ru 0.2500 0.5860 0.1904
Ru 0.7500 0.9140 0.6904
Ru 0.2500 0.5782 0.4351

The energy of formation from the pure elements is -0.08 eV per atom. The total energy comes out at -8.82 eV per atom. Its space-group type is Pnma. As for the energy above the lowest structure with this stoichiometry: 0 meV per atom.

=====

Entry from Alexandria: an optimized crystal structure of Ca2FeTe (PBE).

Cell: 5.2553 5.2553 5.2553 Å, 60.00 60.00 60.00°
Atoms (fractional coordinates):
Fe 0.0000 0.0000 0.0000
Ca 0.2500 0.2500 0.2500
Te 0.5000 0.5000 0.5000
Ca 0.7500 0.7500 0.7500

The total energy comes out at -4.06 eV per atom. Its raw formation energy is -0.16 eV per atom. Its space-group type is Fm-3m. As for the energy above the lowest structure with this stoichiometry: 205 meV per atom.

=====

Entry from Alexandria: an optimized crystal structure of CaFeP2S (PBE).

Cell: 5.1716 5.1716 5.0284 Å, 90.00 90.00 90.00°
Atoms (fractional coordinates):
Fe 0.5000 0.5000 0.5000
S 0.0000 0.0000 0.5000
P 0.0000 0.5000 0.0000
P 0.5000 0.0000 0.0000
Ca 0.0000 0.0000 0.0000

The total energy comes out at -3.84 eV per atom. Its raw formation energy is 1.25 eV per atom. Its space-group type is P4/mmm. As for the energy above the lowest structure with this stoichiometry: 1611 meV per atom.